Entry 1:
Compound: RbBaScO3
Source: the Alexandria database
Functional: PBE
Structure: relaxed

Lattice parameters (Å, degrees): 3.6831 7.0051 11.5577 117.45 90.00 105.24
With the nearest neighbours (Å) after each atom.
Fractional coordinates of all 12 atoms:
Rb: 0.6667 0.3335 0.6437  5 O 2.80-3.11
Rb: 0.3333 0.6665 0.3563  5 O 2.80-3.11
Ba: 0.3639 0.7279 0.9746  5 O 2.62-2.81
Ba: 0.6361 0.2721 0.0254  5 O 2.62-2.81
Sc: 0.0239 0.0477 0.2753  4 O 1.96-2.07
Sc: 0.9761 0.9523 0.7247  4 O 1.96-2.07
O: 0.8568 0.7135 0.1543  1 Sc 2.01
O: 0.9132 0.8265 0.8459  1 Sc 1.96
O: 0.5554 0.1107 0.3679  2 Sc 2.07
O: 0.0868 0.1735 0.1541  1 Sc 1.96
O: 0.4446 0.8893 0.6321  2 Sc 2.07
O: 0.1432 0.2865 0.8457  1 Sc 2.01

Values from the calculation:
- SG = C2/m, No. 12
- energy relative to the elements, uncorrected (eV per atom) = -2.546

---

Entry 2:
Compound: RbBaScSi3O9
Source: the Alexandria database
Functional: PBE
Structure: relaxed

Lattice parameters (Å, degrees): 7.0487 10.3410 12.0262 90.00 89.87 90.00
With the nearest neighbours (Å) after each atom.
Fractional coordinates of all 60 atoms:
Rb: 0.7459 0.0542 0.9224  10 O 3.01-3.36
Rb: 0.2459 0.4458 0.4224  10 O 3.01-3.36
Rb: 0.2541 0.9458 0.0776  10 O 3.01-3.36
Rb: 0.7541 0.5542 0.5776  10 O 3.01-3.36
Ba: 0.7416 0.9428 0.5878  6 O 2.69-2.97
Ba: 0.2416 0.5572 0.0878  6 O 2.69-2.97
Ba: 0.2584 0.0572 0.4122  6 O 2.69-2.97
Ba: 0.7584 0.4428 0.9122  6 O 2.69-2.97
Sc: 0.7558 0.0036 0.2647  6 O 2.06-2.21
Sc: 0.2558 0.4964 0.7647  6 O 2.06-2.21
Sc: 0.2442 0.9964 0.7353  6 O 2.06-2.21
Sc: 0.7442 0.5036 0.2353  6 O 2.06-2.21
Si: 0.8105 0.7641 0.0577  4 O 1.60-1.69
Si: 0.3105 0.7359 0.5577  4 O 1.60-1.69
Si: 0.1895 0.2359 0.9423  4 O 1.60-1.69
Si: 0.6895 0.2641 0.4423  4 O 1.60-1.69
Si: 0.5080 0.7516 0.8764  4 O 1.60-1.69
Si: 0.0080 0.7484 0.3764  4 O 1.60-1.69
Si: 0.4920 0.2484 0.1236  4 O 1.60-1.69
Si: 0.9920 0.2516 0.6236  4 O 1.60-1.69
Si: 0.9343 0.7538 0.8164  4 O 1.62-1.69
Si: 0.4343 0.7462 0.3164  4 O 1.62-1.69
Si: 0.0657 0.2462 0.1836  4 O 1.62-1.69
Si: 0.5657 0.2538 0.6836  4 O 1.62-1.69
O: 0.8536 0.8758 0.1466  1 Si 1.60
O: 0.3536 0.6242 0.6466  1 Si 1.60
O: 0.1464 0.1242 0.8534  1 Si 1.60
O: 0.6464 0.3758 0.3534  1 Si 1.60
O: 0.8502 0.6135 0.0904  1 Si 1.63
O: 0.3502 0.8865 0.5904  1 Si 1.63
O: 0.1498 0.3865 0.9096  1 Si 1.63
O: 0.6498 0.1135 0.4096  1 Si 1.63
O: 0.5939 0.7838 0.0042  2 Si 1.67-1.69
O: 0.0939 0.7162 0.5042  2 Si 1.67-1.69
O: 0.4061 0.2162 0.9958  2 Si 1.67-1.69
O: 0.9061 0.2838 0.4958  2 Si 1.67-1.69
O: 0.9588 0.7941 0.9500  2 Si 1.67-1.69
O: 0.4588 0.7059 0.4500  2 Si 1.67-1.69
O: 0.0412 0.2059 0.0500  2 Si 1.67-1.69
O: 0.5412 0.2941 0.5500  2 Si 1.67-1.69
O: 0.3764 0.8728 0.8456  1 Si 1.60
O: 0.8764 0.6272 0.3456  1 Si 1.60
O: 0.6236 0.1272 0.1544  1 Si 1.60
O: 0.1236 0.3728 0.6544  1 Si 1.60
O: 0.4162 0.6076 0.8880  1 Si 1.63
O: 0.9162 0.8924 0.3880  1 Si 1.63
O: 0.5838 0.3924 0.1120  1 Si 1.63
O: 0.0838 0.1076 0.6120  1 Si 1.63
O: 0.6979 0.7472 0.7928  2 Si 1.67-1.69
O: 0.1979 0.7528 0.2928  2 Si 1.67-1.69
O: 0.3021 0.2528 0.2072  2 Si 1.67-1.69
O: 0.8021 0.2472 0.7072  2 Si 1.67-1.69
O: 0.0043 0.8713 0.7379  1 Si 1.62
O: 0.5043 0.6287 0.2379  1 Si 1.62
O: 0.9957 0.1287 0.2621  1 Si 1.62
O: 0.4957 0.3713 0.7621  1 Si 1.62
O: 0.0068 0.6073 0.7956  1 Si 1.62
O: 0.5068 0.8927 0.2956  1 Si 1.62
O: 0.9932 0.3927 0.2044  1 Si 1.62
O: 0.4932 0.1073 0.7044  1 Si 1.62

Values from the calculation:
- SG = P2_1/c, No. 14
- energy relative to the elements, uncorrected (eV per atom) = -2.926

---

Entry 3:
Compound: RbBaSe2O6
Source: the Alexandria database
Functional: PBE
Structure: relaxed

Lattice parameters (Å, degrees): 7.5560 7.5560 7.7555 101.44 101.44 100.16
With the nearest neighbours (Å) after each atom.
Fractional coordinates of all 20 atoms:
Rb: 0.1896 0.8104 0.2500  6 O 2.94-3.14
Rb: 0.8104 0.1896 0.7500  6 O 2.94-3.14
Ba: 0.6005 0.3995 0.2500  8 O 2.73-3.00
Ba: 0.3995 0.6005 0.7500  8 O 2.73-3.00
Se: 0.2958 0.1187 0.7824  3 O 1.70-1.72
Se: 0.8813 0.7042 0.7176  3 O 1.70-1.72
Se: 0.7042 0.8813 0.2176  3 O 1.70-1.72
Se: 0.1187 0.2958 0.2824  3 O 1.70-1.72
O: 0.9379 0.3674 0.1691  1 Se 1.70
O: 0.6326 0.0621 0.3309  1 Se 1.70
O: 0.0621 0.6326 0.8309  1 Se 1.70
O: 0.3674 0.9379 0.6691  1 Se 1.70
O: 0.2113 0.1702 0.1278  1 Se 1.72
O: 0.8298 0.7887 0.3722  1 Se 1.72
O: 0.7887 0.8298 0.8722  1 Se 1.72
O: 0.1702 0.2113 0.6278  1 Se 1.72
O: 0.2902 0.4935 0.3805  1 Se 1.72
O: 0.5065 0.7098 0.1195  1 Se 1.72
O: 0.7098 0.5065 0.6195  1 Se 1.72
O: 0.4935 0.2902 0.8805  1 Se 1.72

Values from the calculation:
- SG = C2/c, No. 15
- energy relative to the elements, uncorrected (eV per atom) = -1.454

---

Entry 4:
Compound: RbBa2Se2O6
Source: the Alexandria database
Functional: PBE
Structure: relaxed

Lattice parameters (Å, degrees): 6.4401 6.3402 7.0196 87.24 85.07 57.85
With the nearest neighbours (Å) after each atom.
Fractional coordinates of all 11 atoms:
Rb: 0.5000 0.0000 0.5000  6 O 2.98-3.06
Ba: 0.8381 0.3410 0.8560  5 O 2.69-2.86
Ba: 0.1619 0.6590 0.1440  5 O 2.69-2.86
Se: 0.1847 0.6515 0.6609  3 O 1.74-1.81
Se: 0.8153 0.3485 0.3391  3 O 1.74-1.81
O: 0.3798 0.7124 0.7876  1 Se 1.81
O: 0.7778 0.5959 0.1933  1 Se 1.75
O: 0.9057 0.9043 0.7490  1 Se 1.74
O: 0.2222 0.4041 0.8067  1 Se 1.75
O: 0.0943 0.0957 0.2510  1 Se 1.74
O: 0.6202 0.2876 0.2124  1 Se 1.81

Values from the calculation:
- SG = P-1, No. 2
- energy relative to the elements, uncorrected (eV per atom) = -1.615

---

Entry 5:
Compound: Rb2BaSi2O6
Source: the Alexandria database
Functional: PBE
Structure: relaxed

Lattice parameters (Å, degrees): 6.2189 6.2099 7.7204 113.30 90.00 120.05
With the nearest neighbours (Å) after each atom.
Fractional coordinates of all 11 atoms:
Rb: 0.6992 0.3985 0.0983  9 O 3.06-3.27
Rb: 0.3008 0.6015 0.9017  9 O 3.06-3.27
Ba: 0.5000 0.0000 0.5000  6 O 2.68
Si: 0.9206 0.8411 0.7603  3 O 1.59
Si: 0.0794 0.1589 0.2397  3 O 1.59
O: 0.7717 0.5435 0.7570  1 Si 1.59
O: 0.2262 0.0101 0.2386  1 Si 1.59
O: 0.2161 0.9899 0.7614  1 Si 1.59
O: 0.7738 0.9899 0.7614  1 Si 1.59
O: 0.7839 0.0101 0.2386  1 Si 1.59
O: 0.2283 0.4565 0.2430  1 Si 1.59

Values from the calculation:
- SG = C2/m, No. 12
- energy relative to the elements, uncorrected (eV per atom) = -2.366

---

Entry 6:
Compound: RbBa4Sn3O12
Source: the Alexandria database
Functional: PBE
Structure: relaxed

Lattice parameters (Å, degrees): 7.6084 7.6084 7.6084 109.47 109.47 109.47
With the nearest neighbours (Å) after each atom.
Fractional coordinates of all 20 atoms:
Rb: 0.0000 0.0000 0.0000  6 O 2.45
Ba: 0.5000 0.5000 0.5000  12 O 3.11-3.12
Ba: 0.0000 0.0000 0.5000  12 O 3.11-3.12
Ba: 0.5000 0.0000 0.0000  12 O 3.11-3.12
Ba: 0.0000 0.5000 0.0000  12 O 3.11-3.12
Sn: 0.5000 0.0000 0.5000  2 O 1.94
Sn: 0.5000 0.5000 0.0000  2 O 1.94
Sn: 0.0000 0.5000 0.5000  2 O 1.94
O: 0.2500 0.5000 0.7500  2 Sn 2.20
O: 0.7210 0.0000 0.7210  1 Sn 1.94
O: 0.2790 0.0000 0.2790  1 Sn 1.94
O: 0.7500 0.5000 0.2500  2 Sn 2.20
O: 0.7210 0.7210 0.0000  1 Sn 1.94
O: 0.2790 0.2790 0.0000  1 Sn 1.94
O: 0.7500 0.2500 0.5000  2 Sn 2.20
O: 0.2500 0.7500 0.5000  2 Sn 2.20
O: 0.5000 0.2500 0.7500  2 Sn 2.20
O: 0.0000 0.7210 0.7210  1 Sn 1.94
O: 0.5000 0.7500 0.2500  2 Sn 2.20
O: 0.0000 0.2790 0.2790  1 Sn 1.94

Values from the calculation:
- SG = Im-3m, No. 229
- energy relative to the elements, uncorrected (eV per atom) = -1.784

---

no.,uncorrected energy (eV/atom)
1,-6.563
2,-7.600
3,-5.415
4,-5.391
5,-6.408
6,-5.793